Entry 1:
ScBr after structural relaxation, computed with PBE.

```
data_ScBr
_chemical_formula_sum 'Sc6 Br6'
_cell_length_a 13.533
_cell_length_b 3.507
_cell_length_c 7.201
_cell_angle_alpha 90.00
_cell_angle_beta 119.54
_cell_angle_gamma 90.00
_space_group_name_H-M_alt 'C 1 m 1'
_space_group_IT_number 8
loop_
_space_group_symop_operation_xyz
'x,y,z'
'x,-y,z'
'x+1/2,y+1/2,z'
'x+1/2,-y+1/2,z'
loop_
_atom_site_label
_atom_site_type_symbol
_atom_site_fract_x
_atom_site_fract_y
_atom_site_fract_z
Sc1 Sc 0.000 0.000 0.000
Sc2 Sc 0.065 0.000 0.666
Sc3 Sc 0.344 0.000 0.584
Br1 Br 0.193 0.500 0.242
Br2 Br 0.255 0.500 0.794
Br3 Br 0.452 0.000 0.325
```

Results
The density of states at the Fermi level comes out at 4.32 states/eV/cell. The formation energy from raw total energies is -0.916 eV per atom.



Entry 2:
ScBr4 after structural relaxation, computed with PBE.

```
data_ScBr4
_chemical_formula_sum 'Sc2 Br8'
_cell_length_a 6.633
_cell_length_b 6.633
_cell_length_c 6.633
_cell_angle_alpha 90.00
_cell_angle_beta 90.00
_cell_angle_gamma 90.00
_space_group_name_H-M_alt 'I m -3 m'
_space_group_IT_number 229
_space_group_name_Hall '-I 4 2 3'
loop_
_atom_site_label
_atom_site_type_symbol
_atom_site_fract_x
_atom_site_fract_y
_atom_site_fract_z
Sc1 Sc 0.000 0.000 0.000
Br1 Br 0.250 0.250 0.250
```

Results
The density of states at the Fermi level comes out at 6.67 states/eV/cell. The formation energy from raw total energies is -0.857 eV per atom.



Entry 3:
ScBr after structural relaxation, computed with PBE.

```
data_ScBr
_chemical_formula_sum 'Sc2 Br2'
_cell_length_a 3.364
_cell_length_b 4.802
_cell_length_c 5.460
_cell_angle_alpha 90.00
_cell_angle_beta 107.85
_cell_angle_gamma 90.00
_space_group_name_H-M_alt 'P 1 21/m 1'
_space_group_IT_number 11
loop_
_space_group_symop_operation_xyz
'x,y,z'
'-x,-y,-z'
'-x,y+1/2,-z'
'x,-y+1/2,z'
loop_
_atom_site_label
_atom_site_type_symbol
_atom_site_fract_x
_atom_site_fract_y
_atom_site_fract_z
Sc1 Sc 0.131 0.250 0.264
Br1 Br 0.393 0.250 0.793
```

Results
The density of states at the Fermi level comes out at 2.41 states/eV/cell. The formation energy from raw total energies is -0.633 eV per atom.